(1)
# PBE KIn4SnHg2, optimized geometry
data_KIn4SnHg2
_chemical_formula_sum 'K1 In4 Sn1 Hg2'
_space_group_name_H-M_alt 'P 4/m m m'
_space_group_IT_number 123
_space_group_name_Hall '-P 4 2'
_cell_length_a 5.078
_cell_length_b 5.078
_cell_length_c 9.643
_cell_angle_alpha 90.00
_cell_angle_beta 90.00
_cell_angle_gamma 90.00
loop_
_atom_site_label
_atom_site_fract_x
_atom_site_fract_y
_atom_site_fract_z
K1 0.000 0.000 0.000
In1 0.000 0.500 0.316
Sn1 0.000 0.000 0.500
Hg1 0.500 0.500 0.148
# N(E_F) ... 0.49 states/eV/atom
# Energy of formation from the pure elements ... -0.086 eV/atom
# Crystal system ... tetragonal

=====

(2)
# PBE TmAl7Ni2, optimized geometry
data_TmAl7Ni2
_chemical_formula_sum 'Tm2 Al14 Ni4'
_space_group_name_H-M_alt 'C m m m'
_space_group_IT_number 65
_space_group_name_Hall '-C 2 2'
_cell_length_a 8.399
_cell_length_b 10.233
_cell_length_c 4.371
_cell_angle_alpha 90.00
_cell_angle_beta 90.00
_cell_angle_gamma 90.00
loop_
_atom_site_label
_atom_site_fract_x
_atom_site_fract_y
_atom_site_fract_z
Tm1 0.000 0.000 0.000
Al1 0.000 0.324 0.000
Al2 0.000 0.500 0.500
Al3 0.226 0.127 0.500
Ni1 0.000 0.264 0.500
# N(E_F) ... 0.58 states/eV/atom
# Energy of formation from the pure elements ... -0.180 eV/atom
# Crystal system ... orthorhombic

=====

> Among the records above, which one has the highest energy of formation from the pure elements?

KIn4SnHg2